Entry 1:
Crystalline FeCo2Hg at its relaxed geometry, computed with GGA-PBE.

abc: 8.4665 8.4665 8.4665
angles: 19.13 19.13 19.13
With the nearest neighbours (Å) after each atom.
Sites, in units of the cell vectors:
Fe 0.5117 0.5117 0.5117  3 Co 2.41
Co 0.2498 0.2498 0.2498  3 Fe 2.41, 3 Co 2.44
Co 0.9893 0.9893 0.9893  3 Co 2.44
Hg 0.7492 0.7492 0.7492  6 Hg 2.81, 3 Co 2.84, 3 Fe 2.89

Properties
The calculation puts the total magnetization at 6.159 μB per formula unit. The value obtained for the uncorrected energy is -21.28 eV/cell. The density is 10.91 g/cm3. The calculation puts the formation energy at 0.424 eV/atom.


Entry 2:
Crystalline FeCo2Hg at its relaxed geometry, computed with GGA-PBE.

abc: 4.4621 4.4621 4.7772
angles: 77.86 77.86 36.77
With the nearest neighbours (Å) after each atom.
Sites, in units of the cell vectors:
Co 0.0144 0.0144 0.9521  2 Co 2.44, 3 Fe 2.46-2.63, 1 Hg 2.70
Co 0.4856 0.4856 0.5479  2 Co 2.44, 3 Fe 2.46-2.63, 1 Hg 2.70
Hg 0.2500 0.2500 0.2500  6 Co 2.70-2.76, 4 Fe 2.77, 2 Hg 2.81
Fe 0.7500 0.7500 0.7500  6 Co 2.46-2.63

Properties
The calculation puts the total magnetization at 5.701 μB per formula unit. The value obtained for the uncorrected energy is -21.64 eV/cell. The density is 11.20 g/cm3. The calculation puts the formation energy at 0.335 eV/atom.


Entry 3:
Crystalline FeCo2Hg at its relaxed geometry, computed with GGA-PBE.

abc: 4.9348 4.9348 4.9348
angles: 144.12 127.63 65.12
With the nearest neighbours (Å) after each atom.
Sites, in units of the cell vectors:
Co 0.9794 0.9794 0.0000  2 Fe 2.44, 4 Co 2.68, 2 Hg 2.72
Co 0.5206 0.5206 0.0000  2 Fe 2.44, 4 Co 2.68, 2 Hg 2.72
Fe 0.7500 0.2500 0.5000  4 Co 2.44, 4 Hg 2.66
Hg 0.2500 0.7500 0.5000  4 Fe 2.66, 8 Co 2.72-2.90

Properties
The calculation puts the total magnetization at 5.869 μB per formula unit. The value obtained for the uncorrected energy is -21.49 eV/cell. The density is 11.29 g/cm3. The calculation puts the formation energy at 0.371 eV/atom.


Entry 4:
Crystalline FeCoHg2 at its relaxed geometry, computed with GGA-PBE.

abc: 5.2986 5.2986 4.6679
angles: 69.13 69.13 33.58
With the nearest neighbours (Å) after each atom.
Sites, in units of the cell vectors:
Co 0.5313 0.5313 0.4860  2 Fe 2.33
Fe 0.2148 0.2148 0.2682  2 Co 2.33
Hg 0.7702 0.7702 0.7150  4 Fe 2.81-2.87, 3 Co 2.90-2.99, 6 Hg 3.04-3.13
Hg 0.9837 0.9837 0.0308  4 Co 2.80-2.85, 3 Fe 2.94-2.96, 6 Hg 3.04-3.13

Properties
The calculation puts the total magnetization at 4.562 μB per formula unit. The value obtained for the uncorrected energy is -14.55 eV/cell. The density is 12.74 g/cm3. The calculation puts the formation energy at 0.405 eV/atom. Its energy above the most stable polymorph in this dataset is 113 meV per atom.


Q: Which of these has the lowest uncorrected energy?
A: number 2


Q: Among the records above, which one has the highest uncorrected energy?
A: FeCoHg2